No. 1
Entry from Alexandria: a relaxed structure of TbCuS2 (GGA-PBEsol).

The value obtained for the magnetization is 0.0 μB per formula unit.

It has space group P2_1/c (No. 14), with a = 6.245 Å, b = 6.940 Å, c = 6.649 Å, α = 90.00°, β = 97.08° and γ = 90.00°. The asymmetric unit holds Tb at (0.193, 0.048, 0.301), Cu at (0.425, 0.663, 0.449), S at (0.078, 0.725, 0.499) and S at (0.403, 0.110, 0.720).

***

No. 2
Entry from Alexandria: a relaxed structure of CuTe2S (GGA-PBEsol).

For the density of states at the Fermi level, the calculation gives 6.8 states/eV/cell. Its relative energy among the computed polymorphs is 0.261 eV/f.u. The value obtained for the magnetization is 0.0 μB per formula unit.

It has space group R-3m (No. 166, hexagonal axes), with a = 3.4041 Å, b = 3.4041 Å, c = 27.1375 Å, α = 90.00°, β = 90.00° and γ = 120.00°. The asymmetric unit holds Cu at (0.0000, 0.0000, 0.0000), Te at (0.0000, 0.0000, 0.0912) and S at (0.0000, 0.0000, 0.5000).

***

No. 3
Entry from Alexandria: a relaxed structure of CuTeS2 (GGA-PBEsol).

For the density of states at the Fermi level, the calculation gives 9.0 states/eV/cell. The value obtained for the magnetization is 0.0 μB per formula unit.

It has space group R-3m (No. 166, hexagonal axes), with a = 3.4885 Å, b = 3.4885 Å, c = 22.7035 Å, α = 90.00°, β = 90.00° and γ = 120.00°. The asymmetric unit holds Cu at (0.0000, 0.0000, 0.0000), Te at (0.0000, 0.0000, 0.5000) and S at (0.0000, 0.0000, 0.3874).

***

No. 4
Entry from Alexandria: a relaxed structure of Cu2TeS2 (GGA-PBEsol).

For the density of states at the Fermi level, the calculation gives 6.4 states/eV/cell. The value obtained for the magnetization is 0.0 μB per formula unit.

It has space group I4/mmm (No. 139), with a = 4.539 Å, b = 4.539 Å, c = 8.178 Å, α = 90.00°, β = 90.00° and γ = 90.00°. The asymmetric unit holds Cu at (0.000, 0.000, 0.164), Te at (0.000, 0.000, 0.500) and S at (0.000, 0.500, 0.250).

***

No. 5
Entry from Alexandria: a relaxed structure of CuTe2S (GGA-PBEsol).

For the density of states at the Fermi level, the calculation gives 9.2 states/eV/cell. Its relative energy among the computed polymorphs is 0.000 eV/f.u. The value obtained for the magnetization is 0.0 μB per formula unit.

It has space group Fm-3m (No. 225), with a = 6.794 Å, b = 6.794 Å, c = 6.794 Å, α = 90.00°, β = 90.00° and γ = 90.00°. The asymmetric unit holds Cu at (0.000, 0.000, 0.000), Te at (0.250, 0.250, 0.250) and S at (0.000, 0.000, 0.500).

***

No. 6
Entry from Alexandria: a relaxed structure of Ti5CuS10 (GGA-PBEsol).

For the density of states at the Fermi level, the calculation gives 4.5 states/eV/cell. The value obtained for the magnetization is 0.0 μB per formula unit.

It has space group P-1 (No. 2), with a = 5.803 Å, b = 6.621 Å, c = 8.128 Å, α = 106.99°, β = 110.82° and γ = 90.05°. The asymmetric unit holds Ti at (0.000, 0.000, 0.000), Ti at (0.194, 0.399, 0.399), Ti at (0.402, 0.802, 0.795), Cu at (0.500, 0.500, 0.000), S at (0.084, 0.752, 0.498), S at (0.116, 0.649, 0.902), S at (0.281, 0.150, 0.897), S at (0.314, 0.049, 0.301) and S at (0.482, 0.554, 0.302).

***

Number 1: raw formation energy -1.447 eV per atom. Number 2: raw formation energy 0.496 eV per atom. Number 3: raw formation energy -0.005 eV per atom. Number 4: raw formation energy 0.274 eV per atom. Number 5: raw formation energy 0.431 eV per atom. Number 6: raw formation energy -1.280 eV per atom.